Record 1
RbY2P after structural relaxation. Source: Alexandria, functional PBE.

The value obtained for the calculated formation energy is 0.103 eV per formula unit.

The space group is I4_1/amd (No. 141, origin choice 2) and the conventional cell measures 7.3415, 7.3415 and 15.2975 Å, with angles of 90.00, 90.00 and 90.00 degrees. The asymmetric unit holds Rb at (0.0000, 0.2500, 0.3750), Y at (0.0000, 0.0000, 0.0000) and P at (0.0000, 0.2500, 0.8750).

=====

Record 2
AcThHgGe after structural relaxation. Source: Alexandria, functional PBE.

The value obtained for the calculated formation energy is -1.445 eV per formula unit.

The space group is F-43m (No. 216) and the conventional cell measures 7.7270, 7.7270 and 7.7270 Å, with angles of 90.00, 90.00 and 90.00 degrees. The asymmetric unit holds Ac at (0.0000, 0.0000, 0.0000), Th at (0.0000, 0.0000, 0.5000), Hg at (0.2500, 0.2500, 0.2500) and Ge at (0.2500, 0.2500, 0.7500).

=====

Record 3
Sb2Te3Pd4 after structural relaxation. Source: Alexandria, functional PBE.

The value obtained for the uncorrected formation energy is -0.268 eV/atom.

The space group is C2/m (No. 12) and the conventional cell measures 12.0513, 4.1686 and 8.9275 Å, with angles of 90.00, 113.61 and 90.00 degrees. The asymmetric unit holds Sb at (0.1721, 0.0000, 0.3319), Te at (0.0000, 0.5000, 0.5000), Te at (0.1281, 0.0000, 0.9081), Pd at (0.0285, 0.5000, 0.1779) and Pd at (0.1753, 0.0000, 0.6371).

=====

Record 4
ZrTcGe2 after structural relaxation. Source: Alexandria, functional PBE.

The value obtained for the calculated formation energy is 0.134 eV per formula unit. Its offset from the most stable computed form is 386 meV/atom.

The space group is I-42d (No. 122) and the conventional cell measures 3.9432, 3.9432 and 18.9793 Å, with angles of 90.00, 90.00 and 90.00 degrees. The asymmetric unit holds Zr at (0.0000, 0.0000, 0.0000), Tc at (0.0000, 0.0000, 0.5000) and Ge at (0.2257, 0.2500, 0.6250).

=====

Record 5
PuGaHgO6 after structural relaxation. Source: Alexandria, functional PBE.

The value obtained for the uncorrected formation energy is -1.578 eV/atom.

The space group is P-31c (No. 163) and the conventional cell measures 5.3161, 5.3161 and 10.0725 Å, with angles of 90.00, 90.00 and 120.00 degrees. The asymmetric unit holds Pu at (0.3333, 0.6667, 0.2500), Ga at (0.3333, 0.6667, 0.7500), Hg at (0.0000, 0.0000, 0.0000) and O at (0.0008, 0.3615, 0.6412).

=====

Record 6
BaLiCa2Au after structural relaxation. Source: Alexandria, functional PBE.

The value obtained for the calculated formation energy is -1.254 eV per formula unit. Its offset from the most stable computed form is 4 meV/atom.

The space group is P4/mmm (No. 123) and the conventional cell measures 5.8107, 5.8107 and 6.3360 Å, with angles of 90.00, 90.00 and 90.00 degrees. The asymmetric unit holds Ba at (0.0000, 0.0000, 0.0000), Li at (0.5000, 0.5000, 0.0000), Ca at (0.0000, 0.5000, 0.5000) and Au at (0.0000, 0.0000, 0.5000).

=====

Record 7
Tl3Cd4Sb4 after structural relaxation. Source: Alexandria, functional PBE.

The value obtained for the uncorrected formation energy is 0.013 eV/atom.

The space group is Immm (No. 71) and the conventional cell measures 4.9029, 5.0937 and 28.1028 Å, with angles of 90.00, 90.00 and 90.00 degrees. The asymmetric unit holds Tl at (0.0000, 0.0000, 0.0000), Tl at (0.0000, 0.5000, 0.1371), Cd at (0.0000, 0.0000, 0.2534), Cd at (0.0000, 0.5000, 0.4063), Sb at (0.0000, 0.0000, 0.4490) and Sb at (0.0000, 0.5000, 0.3063).

=====

Record 8
PmEuTlSb after structural relaxation. Source: Alexandria, functional PBE.

The value obtained for the uncorrected formation energy is -0.576 eV/atom.

The space group is F-43m (No. 216) and the conventional cell measures 7.8123, 7.8123 and 7.8123 Å, with angles of 90.00, 90.00 and 90.00 degrees. The asymmetric unit holds Pm at (0.0000, 0.0000, 0.0000), Eu at (0.0000, 0.0000, 0.5000), Tl at (0.2500, 0.2500, 0.2500) and Sb at (0.2500, 0.2500, 0.7500).

=====

Record 9
ScGaIO2 after structural relaxation. Source: Alexandria, functional PBE.

The value obtained for the uncorrected formation energy is 0.023 eV/atom. Its offset from the most stable computed form is 1308 meV/atom.

The space group is P4/mmm (No. 123) and the conventional cell measures 4.1338, 4.1338 and 5.8076 Å, with angles of 90.00, 90.00 and 90.00 degrees. The asymmetric unit holds Sc at (0.0000, 0.0000, 0.0000), Ga at (0.5000, 0.5000, 0.0000), I at (0.0000, 0.0000, 0.5000) and O at (0.0000, 0.5000, 0.5000).

=====

Record 10
CdAg4 after structural relaxation. Source: Alexandria, functional PBE.

The value obtained for the calculated formation energy is 0.075 eV per formula unit. Its offset from the most stable computed form is 42 meV/atom.

The space group is C2/m (No. 12) and the conventional cell measures 13.5123, 4.8717 and 2.8739 Å, with angles of 90.00, 101.35 and 90.00 degrees. The asymmetric unit holds Cd at (0.0000, 0.0000, 0.0000), Ag at (0.1011, 0.5000, 0.7790) and Ag at (0.2029, 0.0000, 0.6119).

=====

Record 11
Se3BrF after structural relaxation. Source: Alexandria, functional PBE.

The value obtained for the uncorrected formation energy is 0.690 eV/atom. Its offset from the most stable computed form is 0 meV/atom.

The space group is Pm-3m (No. 221) and the conventional cell measures 4.7667, 4.7667 and 4.7667 Å, with angles of 90.00, 90.00 and 90.00 degrees. The asymmetric unit holds Se at (0.0000, 0.0000, 0.5000), Br at (0.5000, 0.5000, 0.5000) and F at (0.0000, 0.0000, 0.0000).

=====

Record 12
CaLa2MgN after structural relaxation. Source: Alexandria, functional PBE.

The value obtained for the uncorrected formation energy is 1.761 eV/atom. Its offset from the most stable computed form is 2319 meV/atom.

The space group is P4/mmm (No. 123) and the conventional cell measures 5.8733, 5.8733 and 5.3432 Å, with angles of 90.00, 90.00 and 90.00 degrees. The asymmetric unit holds Ca at (0.0000, 0.0000, 0.0000), La at (0.0000, 0.5000, 0.0000), Mg at (0.0000, 0.0000, 0.5000) and N at (0.5000, 0.5000, 0.5000).

=====

Record 13
Pr15Y2Mg2 after structural relaxation. Source: Alexandria, functional PBE.

The value obtained for the calculated formation energy is 4.016 eV per formula unit.

The space group is R-3m (No. 166, hexagonal axes) and the conventional cell measures 11.3976, 11.3976 and 17.9693 Å, with angles of 90.00, 90.00 and 120.00 degrees. The asymmetric unit holds Pr at (0.0000, 0.2958, 0.0000), Pr at (0.0000, 0.5000, 0.5000), Pr at (0.0216, 0.5108, 0.1380), Y at (0.0000, 0.0000, 0.3115) and Mg at (0.0000, 0.0000, 0.0924).

=====

Record 14
PmEuNi after structural relaxation. Source: Alexandria, functional PBE.

The value obtained for the calculated formation energy is -0.366 eV per formula unit. Its offset from the most stable computed form is 0 meV/atom.

The space group is I4mm (No. 107) and the conventional cell measures 3.5446, 3.5446 and 12.8999 Å, with angles of 90.00, 90.00 and 90.00 degrees. The asymmetric unit holds Pm at (0.0000, 0.0000, 0.0000), Eu at (0.0000, 0.0000, 0.7423) and Ni at (0.0000, 0.0000, 0.3883).

=====

Record 15
HgPCl2O after structural relaxation. Source: Alexandria, functional PBE.

The value obtained for the uncorrected formation energy is 1.175 eV/atom. Its offset from the most stable computed form is 1067 meV/atom.

The space group is P4/mmm (No. 123) and the conventional cell measures 5.0147, 5.0147 and 5.2691 Å, with angles of 90.00, 90.00 and 90.00 degrees. The asymmetric unit holds Hg at (0.0000, 0.0000, 0.0000), P at (0.0000, 0.0000, 0.5000), Cl at (0.0000, 0.5000, 0.0000) and O at (0.5000, 0.5000, 0.5000).

=====

Record 16
RbGdIn2 after structural relaxation. Source: Alexandria, functional PBE.

The value obtained for the calculated formation energy is -0.879 eV per formula unit.

The space group is P4/mmm (No. 123) and the conventional cell measures 3.9000, 3.9000 and 8.9233 Å, with angles of 90.00, 90.00 and 90.00 degrees. The asymmetric unit holds Rb at (0.0000, 0.0000, 0.0000), Gd at (0.0000, 0.0000, 0.5000) and In at (0.5000, 0.5000, 0.3051).

=====

Record 17
AgAsPt3 after structural relaxation. Source: Alexandria, functional PBE.

The value obtained for the calculated formation energy is 7.657 eV per formula unit. Its offset from the most stable computed form is 1120 meV/atom.

The space group is Pm-3m (No. 221) and the conventional cell measures 4.8654, 4.8654 and 4.8654 Å, with angles of 90.00, 90.00 and 90.00 degrees. The asymmetric unit holds Ag at (0.0000, 0.0000, 0.0000), As at (0.5000, 0.5000, 0.5000) and Pt at (0.0000, 0.0000, 0.5000).

=====

Record 18
Na3GaAu3 after structural relaxation. Source: Alexandria, functional PBE.

The value obtained for the calculated formation energy is -2.149 eV per formula unit. Its offset from the most stable computed form is 0 meV/atom.

The space group is C2/m (No. 12) and the conventional cell measures 10.7599, 4.4591 and 14.8493 Å, with angles of 90.00, 110.32 and 90.00 degrees. The asymmetric unit holds Na at (0.0169, 0.0000, 0.3779), Na at (0.1006, 0.0000, 0.9230), Na at (0.2483, 0.5000, 0.7756), Ga at (0.2371, 0.5000, 0.4088), Au at (0.0522, 0.5000, 0.2451), Au at (0.1166, 0.5000, 0.0793) and Au at (0.1370, 0.5000, 0.5498).

=====

Record 19
TbNd2Ru after structural relaxation. Source: Alexandria, functional PBE.

The value obtained for the calculated formation energy is 0.855 eV per formula unit. Its offset from the most stable computed form is 435 meV/atom.

The space group is R-3m (No. 166, hexagonal axes) and the conventional cell measures 3.6164, 3.6164 and 32.1626 Å, with angles of 90.00, 90.00 and 120.00 degrees. The asymmetric unit holds Tb at (0.0000, 0.0000, 0.0000), Nd at (0.0000, 0.0000, 0.1067) and Ru at (0.0000, 0.0000, 0.5000).

=====

Record 20
Mg2SiAu after structural relaxation. Source: Alexandria, functional PBE.

The value obtained for the uncorrected formation energy is -0.114 eV/atom.

The space group is P4mm (No. 99) and the conventional cell measures 3.6870, 3.6870 and 5.5484 Å, with angles of 90.00, 90.00 and 90.00 degrees. The asymmetric unit holds Mg at (0.0000, 0.0000, 0.0000), Mg at (0.5000, 0.5000, 0.3083), Si at (0.0000, 0.0000, 0.5155) and Au at (0.5000, 0.5000, 0.8066).

=====

Magnetization (computed, μB/f.u.): 0.0, 0.0, 0.0, 0.0, 1.0, 0.0, 0.0, 7.4, 0.0, 0.0, 0.0, 1.7, 0.0, 7.3, 0.0, 7.3, 0.0, 0.0, 0.0, 0.0